# 1
This record from the Alexandria database describes an optimized crystal structure of SmGe2Ir2Pt. The functional is GGA-PBE.

Properties
**Total magnetization**: 0.000 μB per atom
**E_form**: -0.0969 eV/atom
**Raw total energy**: -6.383 eV/atom

Cell and atoms, written as POSCAR:
```
SmGe2Ir2Pt
1.0
4.6769 0.0000 0.0000
0.0000 4.6769 0.0000
0.0000 0.0000 5.5299
Sm Ge Ir Pt
1 2 2 1
direct
0.0000 0.0000 0.0000
0.0000 0.5000 0.5000
0.5000 0.0000 0.5000
0.5000 0.5000 0.2339
0.5000 0.5000 0.7661
0.0000 0.0000 0.5000
```


# 2
This record from the Alexandria database describes an optimized crystal structure of Sn2GeIrPt. The functional is GGA-PBE.

Properties
**Total magnetization**: 0.000 μB per atom
**E_form**: 0.9147 eV/atom
**Raw total energy**: -4.590 eV/atom

Cell and atoms, written as POSCAR:
```
Sn2GeIrPt
1.0
5.1998 0.0000 0.0000
0.0000 5.1998 0.0000
0.0000 0.0000 4.5389
Sn Ge Ir Pt
2 1 1 1
direct
0.0000 0.5000 0.0000
0.5000 0.0000 0.0000
0.0000 0.0000 0.0000
0.0000 0.0000 0.5000
0.5000 0.5000 0.5000
```


# 3
This record from the Alexandria database describes an optimized crystal structure of Sr2Ge4IrPt3. The functional is GGA-PBE.

Properties
**Total magnetization**: 0.000 μB per atom
**E_form**: -0.7642 eV/atom
**Raw total energy**: -5.646 eV/atom

Cell and atoms, written as POSCAR:
```
Sr2Ge4IrPt3
1.0
4.3089 0.0000 0.0000
0.0000 4.3089 0.0000
0.0000 0.0000 10.6292
Sr Ge Ir Pt
2 4 1 3
direct
0.0000 0.5000 0.2462
0.5000 0.0000 0.7538
0.0000 0.0000 0.0000
0.0000 0.5000 0.6299
0.5000 0.0000 0.3701
0.5000 0.5000 0.0000
0.0000 0.0000 0.5000
0.0000 0.5000 0.8702
0.5000 0.0000 0.1298
0.5000 0.5000 0.5000
```


# 4
This record from the Alexandria database describes an optimized crystal structure of SrGe2IrPt. The functional is GGA-PBE.

Properties
**Total magnetization**: 0.000 μB per atom
**E_form**: -0.6632 eV/atom
**Raw total energy**: -5.827 eV/atom

Cell and atoms, written as POSCAR:
```
SrGe2IrPt
1.0
-2.1066 2.1066 5.5481
2.1066 -2.1066 5.5481
2.1066 2.1066 -5.5481
Sr Ge Ir Pt
1 2 1 1
direct
0.0000 0.0000 0.0000
0.3749 0.3749 0.0000
0.6251 0.6251 0.0000
0.7500 0.2500 0.5000
0.2500 0.7500 0.5000
```


# 5
This record from the Alexandria database describes an optimized crystal structure of Tb2Ge4Ir3Pt. The functional is GGA-PBE.

Properties
**Total magnetization**: 0.000 μB per atom
**E_form**: -0.7814 eV/atom
**Raw total energy**: -6.817 eV/atom

Cell and atoms, written as POSCAR:
```
Tb2Ge4Ir3Pt
1.0
4.2068 0.0000 0.0000
0.0000 4.2068 0.0000
0.0000 0.0000 10.3350
Tb Ge Ir Pt
2 4 3 1
direct
0.0000 0.5000 0.2417
0.5000 0.0000 0.7583
0.0000 0.0000 0.0000
0.0000 0.5000 0.6380
0.5000 0.0000 0.3620
0.5000 0.5000 0.0000
0.0000 0.5000 0.8710
0.5000 0.0000 0.1290
0.5000 0.5000 0.5000
0.0000 0.0000 0.5000
```


# 6
This record from the Alexandria database describes an optimized crystal structure of Th2Ge4IrPt3. The functional is GGA-PBE.

Properties
**Total magnetization**: 0.000 μB per atom
**E_form**: -0.8912 eV/atom
**Raw total energy**: -6.920 eV/atom

Cell and atoms, written as POSCAR:
```
Th2Ge4IrPt3
1.0
4.2386 0.0000 0.0000
0.0000 4.2386 0.0000
0.0000 0.0000 10.6444
Th Ge Ir Pt
2 4 1 3
direct
0.0000 0.5000 0.2421
0.5000 0.0000 0.7579
0.0000 0.0000 0.5000
0.0000 0.5000 0.8656
0.5000 0.0000 0.1344
0.5000 0.5000 0.5000
0.5000 0.5000 0.0000
0.0000 0.0000 0.0000
0.0000 0.5000 0.6342
0.5000 0.0000 0.3658
```


# 7
This record from the Alexandria database describes an optimized crystal structure of Th2Ge4Ir3Pt. The functional is GGA-PBE.

Properties
**Total magnetization**: 0.000 μB per atom
**E_form**: -0.8264 eV/atom
**Raw total energy**: -7.420 eV/atom

Cell and atoms, written as POSCAR:
```
Th2Ge4Ir3Pt
1.0
4.2716 0.0000 0.0000
0.0000 4.2716 0.0000
0.0000 0.0000 10.3115
Th Ge Ir Pt
2 4 3 1
direct
0.0000 0.5000 0.2458
0.5000 0.0000 0.7542
0.0000 0.0000 0.0000
0.0000 0.5000 0.6372
0.5000 0.0000 0.3628
0.5000 0.5000 0.0000
0.0000 0.5000 0.8736
0.5000 0.0000 0.1264
0.5000 0.5000 0.5000
0.0000 0.0000 0.5000
```


# 8
This record from the Alexandria database describes an optimized crystal structure of ThGe2Ir2Pt. The functional is GGA-PBE.

Properties
**Total magnetization**: 0.000 μB per atom
**E_form**: -0.1126 eV/atom
**Raw total energy**: -6.849 eV/atom

Cell and atoms, written as POSCAR:
```
ThGe2Ir2Pt
1.0
4.6695 0.0000 0.0000
0.0000 4.6695 0.0000
0.0000 0.0000 5.5753
Th Ge Ir Pt
1 2 2 1
direct
0.0000 0.0000 0.0000
0.0000 0.5000 0.5000
0.5000 0.0000 0.5000
0.5000 0.5000 0.2334
0.5000 0.5000 0.7666
0.0000 0.0000 0.5000
```